Here is a relaxed Fe3Co crystal from Alexandria via LeMat-Bulk. Energies are from GGA-PBEsol.

Cell and atoms, written as POSCAR:
```
Fe3Co
1.0
-1.394 1.980 3.975
1.394 -1.980 3.975
1.394 1.980 -3.975
Fe Co
3 1
Direct
0.000 0.000 0.000
0.251 0.751 0.500
0.749 0.249 0.500
0.500 0.500 0.000
```

Computed properties:
**V**: 43.9 Å³/f.u.
**Energy relative to the elements**: 0.023 eV/f.u.
**Total magnetization**: 2.30 μB/atom
**Final energy**: -8.65 eV/atom